The following is a DFT calculation (meta-GGA SCAN) of Ba2NiTe2 at its PBEsol-relaxed geometry.

Computed properties:
space-group type = I4/mmm (139)
total magnetization = 0.0 μB per formula unit
uncorrected formation energy = -316 meV/atom
raw total energy = -342.71 eV for the cell shown

Geometry as POSCAR:
```
Ba2NiTe2
1.0
4.366 0.000 0.000
0.000 4.366 0.000
0.000 0.000 18.111
Ba Ni Te
4 2 4
direct
0.000 0.000 0.098
0.000 0.000 0.902
0.500 0.500 0.402
0.500 0.500 0.598
0.000 0.000 0.500
0.500 0.500 0.000
0.000 0.500 0.250
0.000 0.500 0.750
0.500 0.000 0.250
0.500 0.000 0.750
```